ZrTaNb2H: optimized geometry, PBE.

Geometry as CIF:
```
data_ZrTaNb2H
_space_group_name_H-M_alt 'P 4/m m m'
_space_group_IT_number 123
_space_group_name_Hall '-P 4 2'
_cell_length_a 4.6433
_cell_length_b 4.6433
_cell_length_c 3.6973
_cell_angle_alpha 90.00
_cell_angle_beta 90.00
_cell_angle_gamma 90.00
loop_
_atom_site_label
_atom_site_type_symbol
_atom_site_fract_x
_atom_site_fract_y
_atom_site_fract_z
_atom_site_occupancy
Zr1 Zr 0.0000 0.0000 0.0000 1
Ta1 Ta 0.5000 0.5000 0.0000 1
Nb1 Nb 0.0000 0.5000 0.5000 1
H1 H 0.5000 0.5000 0.5000 1
```

Its energy above the lowest structure with this stoichiometry is 0 meV/atom. As for the total energy: -8.750 eV/atom.

ZrTa2NbH: optimized geometry, PBE.

Geometry as CIF:
```
data_ZrTa2NbH
_space_group_name_H-M_alt 'P 4/m m m'
_space_group_IT_number 123
_space_group_name_Hall '-P 4 2'
_cell_length_a 4.0305
_cell_length_b 4.0305
_cell_length_c 4.9457
_cell_angle_alpha 90.00
_cell_angle_beta 90.00
_cell_angle_gamma 90.00
loop_
_atom_site_label
_atom_site_type_symbol
_atom_site_fract_x
_atom_site_fract_y
_atom_site_fract_z
_atom_site_occupancy
Zr1 Zr 0.0000 0.0000 0.0000 1
Ta1 Ta 0.0000 0.5000 0.5000 1
Nb1 Nb 0.5000 0.5000 0.0000 1
H1 H 0.0000 0.0000 0.5000 1
```

As for the total energy: -9.066 eV/atom.

ZrTaNb2H: optimized geometry, PBE.

Geometry as CIF:
```
data_ZrTaNb2H
_space_group_name_H-M_alt 'P 4/m m m'
_space_group_IT_number 123
_space_group_name_Hall '-P 4 2'
_cell_length_a 4.0356
_cell_length_b 4.0356
_cell_length_c 4.9365
_cell_angle_alpha 90.00
_cell_angle_beta 90.00
_cell_angle_gamma 90.00
loop_
_atom_site_label
_atom_site_type_symbol
_atom_site_fract_x
_atom_site_fract_y
_atom_site_fract_z
_atom_site_occupancy
Zr1 Zr 0.0000 0.0000 0.0000 1
Ta1 Ta 0.5000 0.5000 0.0000 1
Nb1 Nb 0.0000 0.5000 0.5000 1
H1 H 0.0000 0.0000 0.5000 1
```

Its energy above the lowest structure with this stoichiometry is 24 meV/atom. As for the total energy: -8.726 eV/atom.

Tb3Nb5H12: optimized geometry, PBE.

Geometry as CIF:
```
data_Tb3Nb5H12
_space_group_name_H-M_alt 'I a -3 d'
_space_group_IT_number 230
_space_group_name_Hall '-I 4bd 2c 3'
_cell_length_a 11.9258
_cell_length_b 11.9258
_cell_length_c 11.9258
_cell_angle_alpha 90.00
_cell_angle_beta 90.00
_cell_angle_gamma 90.00
loop_
_atom_site_label
_atom_site_type_symbol
_atom_site_fract_x
_atom_site_fract_y
_atom_site_fract_z
_atom_site_occupancy
Tb1 Tb 0.0000 0.2500 0.1250 1
Nb1 Nb 0.0000 0.0000 0.0000 1
Nb2 Nb 0.0000 0.2500 0.3750 1
H1 H 0.0164 0.0644 0.6482 1
```

As for the total energy: -5.518 eV/atom.

TbNbH: optimized geometry, PBE.

Geometry as CIF:
```
data_TbNbH
_space_group_name_H-M_alt 'P -3 m 1'
_space_group_IT_number 164
_space_group_name_Hall '-P 3 2"'
_cell_length_a 3.2672
_cell_length_b 3.2672
_cell_length_c 21.6306
_cell_angle_alpha 90.00
_cell_angle_beta 90.00
_cell_angle_gamma 120.00
loop_
_atom_site_label
_atom_site_type_symbol
_atom_site_fract_x
_atom_site_fract_y
_atom_site_fract_z
_atom_site_occupancy
Tb1 Tb 0.3333 0.6667 0.2818 1
Tb2 Tb 0.3333 0.6667 0.4317 1
Nb1 Nb 0.3333 0.6667 0.8336 1
Nb2 Nb 0.3333 0.6667 0.9507 1
H1 H 0.3333 0.6667 0.1117 1
H2 H 0.3333 0.6667 0.6418 1
```

As for the total energy: -5.882 eV/atom.

TbNbH3: optimized geometry, PBE.

Geometry as CIF:
```
data_TbNbH3
_space_group_name_H-M_alt 'P m -3 m'
_space_group_IT_number 221
_space_group_name_Hall '-P 4 2 3'
_cell_length_a 3.7894
_cell_length_b 3.7894
_cell_length_c 3.7894
_cell_angle_alpha 90.00
_cell_angle_beta 90.00
_cell_angle_gamma 90.00
loop_
_atom_site_label
_atom_site_type_symbol
_atom_site_fract_x
_atom_site_fract_y
_atom_site_fract_z
_atom_site_occupancy
Tb1 Tb 0.0000 0.0000 0.0000 1
Nb1 Nb 0.5000 0.5000 0.5000 1
H1 H 0.0000 0.5000 0.5000 1
```

As for the total energy: -5.271 eV/atom.